# 1
Material: LaP2SCl
Method: DFT, PBE
State: relaxed

Results
Uncorrected formation energy   -0.30 eV/atom
Offset from the most stable computed form   0 meV/atom
D(E_F)   3.5 states/eV per cell

abc: 4.6287 4.6287 4.9680
angles: 90.00 90.00 90.00
Closest atoms and distances in Å follow each position.
Positions (direct):
P  0.0000  0.5000  0.0000  2 S 2.31
P  0.5000  0.0000  0.0000  2 S 2.31
S  0.0000  0.0000  0.0000  4 P 2.31, 2 Cl 2.48
Cl  0.0000  0.0000  0.5000  2 S 2.48
La  0.5000  0.5000  0.5000  4 Cl 3.27, 8 P 3.40

# 2
Material: BaSnTe2N
Method: DFT, PBE
State: relaxed

Results
Uncorrected formation energy   0.03 eV/atom
Offset from the most stable computed form   156 meV/atom
D(E_F)   2.7 states/eV per cell

abc: 5.0254 5.3285 5.0254
angles: 90.00 90.00 90.00
Closest atoms and distances in Å follow each position.
Positions (direct):
N  0.0000  0.0000  0.0000  4 Te 2.51, 2 Ba 2.66
Te  0.0000  0.0000  0.5000  2 N 2.51
Te  0.5000  0.0000  0.0000  2 N 2.51
Ba  0.0000  0.5000  0.0000  2 N 2.66
Sn  0.5000  0.5000  0.5000  4 Ba 3.55, 8 Te 3.66

# 3
Material: RbLi2ZrF8
Method: DFT, PBE
State: relaxed

Results
Uncorrected formation energy   -2.96 eV/atom
D(E_F)   14.2 states/eV per cell

abc: 5.4397 5.4397 7.8982
angles: 90.00 90.00 120.00
Closest atoms and distances in Å follow each position.
Positions (direct):
Rb  0.0000  0.0000  0.0000  12 F 3.15
Li  0.6667  0.3333  0.2662  4 F 1.85-1.92
Li  0.3333  0.6667  0.7338  4 F 1.85-1.92
Zr  0.0000  0.0000  0.5000  6 F 2.04
F  0.3333  0.6667  0.9766  1 Li 1.92
F  0.3175  0.2704  0.3421  1 Li 1.85, 1 Zr 2.04
F  0.7296  0.0471  0.3421  1 Li 1.85, 1 Zr 2.04
F  0.6667  0.3333  0.0234  1 Li 1.92
F  0.2704  0.9529  0.6579  1 Li 1.85, 1 Zr 2.04
F  0.6825  0.7296  0.6579  1 Li 1.85, 1 Zr 2.04
F  0.0471  0.3175  0.6579  1 Li 1.85, 1 Zr 2.04
F  0.9529  0.6825  0.3421  1 Li 1.85, 1 Zr 2.04

# 4
Material: Tl3ZnSe4
Method: DFT, PBE
State: relaxed

Results
Uncorrected formation energy   -0.31 eV/atom
D(E_F)   7.0 states/eV per cell

abc: 6.6786 6.2857 10.9928
angles: 90.00 90.00 90.00
Closest atoms and distances in Å follow each position.
Positions (direct):
Tl  0.5575  0.7761  0.0000  6 Se 3.13-3.51
Tl  0.0206  0.7236  0.2503  4 Se 2.82-2.92
Tl  0.5206  0.2764  0.2497  4 Se 2.82-2.92
Tl  0.0575  0.2239  0.5000  6 Se 3.13-3.51
Tl  0.5206  0.2764  0.7503  4 Se 2.82-2.92
Tl  0.0206  0.7236  0.7497  4 Se 2.82-2.92
Zn  0.0056  0.1867  0.0000  4 Se 2.47-2.50
Zn  0.5056  0.8133  0.5000  4 Se 2.47-2.50
Se  0.0821  0.8022  0.0000  1 Zn 2.47
Se  0.6385  0.2673  0.0000  1 Zn 2.50
Se  0.0952  0.2697  0.2145  1 Zn 2.49
Se  0.5952  0.7303  0.2855  1 Zn 2.49
Se  0.1385  0.7327  0.5000  1 Zn 2.50
Se  0.5821  0.1978  0.5000  1 Zn 2.47
Se  0.5952  0.7303  0.7145  1 Zn 2.49
Se  0.0952  0.2697  0.7855  1 Zn 2.49

# 5
Material: VOsCl2
Method: DFT, PBE
State: relaxed

Results
Uncorrected formation energy   0.18 eV/atom
Offset from the most stable computed form   0 meV/atom
D(E_F)   3.4 states/eV per cell

abc: 8.0288 8.0288 8.0288
angles: 21.37 21.37 21.37
Closest atoms and distances in Å follow each position.
Positions (direct):
V  0.5000  0.5000  0.5000  6 Cl 2.37
Os  0.0000  0.0000  0.0000  2 Cl 2.28
Cl  0.9030  0.9030  0.9030  1 Os 2.28, 3 V 2.37
Cl  0.0970  0.0970  0.0970  1 Os 2.28, 3 V 2.37

# 6
Material: Sm3Ho2Sc
Method: DFT, PBE
State: relaxed

Results
Formation energy   0.25 eV per atom
Offset from the most stable computed form   209 meV/atom
D(E_F)   17.2 states/eV per cell

abc: 6.2959 8.0697 8.0697
angles: 70.17 90.00 90.00
Closest atoms and distances in Å follow each position.
Positions (direct):
Sm  0.9353  0.8767  0.5124  3 Sm 3.21-3.38, 3 Ho 3.34-3.48
Sm  0.4353  0.4876  0.1233  3 Sm 3.21-3.38, 3 Ho 3.34-3.48
Sm  0.9353  0.5124  0.8767  3 Sm 3.21-3.38, 3 Ho 3.34-3.48
Sm  0.4353  0.1233  0.4876  3 Sm 3.21-3.38, 3 Ho 3.34-3.48
Sm  0.6235  0.8378  0.8378  3 Sc 3.16-3.50, 4 Sm 3.21
Sm  0.1235  0.1622  0.1622  3 Sc 3.16-3.50, 4 Sm 3.21
Ho  0.4061  0.7484  0.3681  1 Sc 3.28, 4 Sm 3.34-3.65, 3 Ho 3.50-3.53
Ho  0.9061  0.6319  0.2516  1 Sc 3.28, 4 Sm 3.34-3.65, 3 Ho 3.50-3.53
Ho  0.4061  0.3681  0.7484  1 Sc 3.28, 4 Sm 3.34-3.65, 3 Ho 3.50-3.53
Ho  0.9061  0.2516  0.6319  1 Sc 3.28, 4 Sm 3.34-3.65, 3 Ho 3.50-3.53
Sc  0.1517  0.9194  0.9194  3 Sm 3.16-3.50, 2 Ho 3.28
Sc  0.6517  0.0806  0.0806  3 Sm 3.16-3.50, 2 Ho 3.28

# 7
Material: PmCo
Method: DFT, PBE
State: relaxed

Results
Formation energy   -0.13 eV per atom
D(E_F)   6.0 states/eV per cell

abc: 3.9538 3.9538 7.4299
angles: 74.57 74.57 60.00
Closest atoms and distances in Å follow each position.
Positions (direct):
Pm  0.9126  0.9126  0.2623  6 Co 2.93-2.95
Pm  0.0874  0.0874  0.7377  6 Co 2.93-2.95
Co  0.6672  0.6672  0.9984  3 Co 2.28
Co  0.3328  0.3328  0.0016  3 Co 2.28

# 8
Material: TlPdF3
Method: DFT, PBE
State: relaxed

Results
Uncorrected formation energy   -1.23 eV/atom
Offset from the most stable computed form   211 meV/atom
D(E_F)   0.0 states/eV per cell

abc: 5.5337 8.3638 6.5741
angles: 90.00 90.00 90.00
Closest atoms and distances in Å follow each position.
Positions (direct):
Tl  0.0000  0.0000  0.5000  6 F 2.44-2.71, 2 Pd 2.70
Tl  0.5000  0.5000  0.0000  6 F 2.44-2.71, 2 Pd 2.70
Tl  0.5000  0.0000  0.0000  6 F 2.44-2.71, 2 Pd 2.70
Tl  0.0000  0.5000  0.5000  6 F 2.44-2.71, 2 Pd 2.70
Pd  0.6954  0.2500  0.4525  1 F 2.03
Pd  0.8046  0.7500  0.9525  1 F 2.03
Pd  0.3046  0.7500  0.5475  1 F 2.03
Pd  0.1954  0.2500  0.0475  1 F 2.03
F  0.1290  0.9037  0.8405  2 Pd 2.33-2.51, 2 Tl 2.44-2.48, 1 F 2.57
F  0.3710  0.4037  0.3405  2 Pd 2.33-2.51, 2 Tl 2.44-2.48, 1 F 2.57
F  0.3710  0.0963  0.3405  2 Pd 2.33-2.51, 2 Tl 2.44-2.48, 1 F 2.57
F  0.8710  0.4037  0.1595  2 Pd 2.33-2.51, 2 Tl 2.44-2.48, 1 F 2.57
F  0.8710  0.0963  0.1595  2 Pd 2.33-2.51, 2 Tl 2.44-2.48, 1 F 2.57
F  0.6290  0.5963  0.6595  2 Pd 2.33-2.51, 2 Tl 2.44-2.48, 1 F 2.57
F  0.6290  0.9037  0.6595  2 Pd 2.33-2.51, 2 Tl 2.44-2.48, 1 F 2.57
F  0.1290  0.5963  0.8405  2 Pd 2.33-2.51, 2 Tl 2.44-2.48, 1 F 2.57
F  0.5895  0.2500  0.7478  1 Pd 2.03
F  0.9105  0.7500  0.2478  1 Pd 2.03
F  0.4105  0.7500  0.2522  1 Pd 2.03
F  0.0895  0.2500  0.7522  1 Pd 2.03